Crystalline LaYbS3 at its relaxed geometry. Source: Alexandria via LeMat-Bulk, functional PBE.

```
LaYbS3
1.0
7.490 0.000 0.000
0.000 9.876 0.000
0.000 0.000 6.767
La Yb S
4 4 12
Direct
0.096 0.250 0.037
0.404 0.750 0.537
0.596 0.250 0.463
0.904 0.750 0.963
0.000 0.000 0.500
0.000 0.500 0.500
0.500 0.000 0.000
0.500 0.500 0.000
0.058 0.750 0.351
0.187 0.572 0.822
0.187 0.928 0.822
0.313 0.072 0.322
0.313 0.428 0.322
0.442 0.250 0.851
0.558 0.750 0.149
0.687 0.572 0.678
0.687 0.928 0.678
0.813 0.072 0.178
0.813 0.428 0.178
0.942 0.250 0.649
```

Properties
**Polymorph energy (0 for the lowest one)**: 0.12 eV per formula unit
**E_form (uncorrected)**: -1.87 eV/atom
**Symmetry**: Pnma, No. 62

---

Crystalline CuP2S2Br2 at its relaxed geometry. Source: Alexandria via LeMat-Bulk, functional PBE.

```
CuP2S2Br2
1.0
3.206 0.000 0.000
-0.005 7.357 0.000
-1.593 -3.224 8.237
Cu P S Br
1 2 2 2
Direct
0.000 0.000 0.000
0.207 0.262 0.414
0.793 0.738 0.586
0.207 0.643 0.412
0.793 0.357 0.588
0.500 0.243 0.999
0.500 0.757 0.001
```

Properties
**E_form (uncorrected)**: 0.00 eV/atom
**Symmetry**: P-1, No. 2

---

Crystalline Tb2Pm3SmSe6 at its relaxed geometry. Source: Alexandria via LeMat-Bulk, functional PBE.

```
Tb2Pm3SmSe6
1.0
9.068 -2.070 0.000
9.068 2.070 0.000
-1.979 0.000 8.133
Tb Pm Sm Se
2 3 1 6
Direct
0.166 0.166 0.332
0.834 0.834 0.668
0.165 0.165 0.833
0.500 0.500 0.500
0.835 0.835 0.167
0.500 0.500 0.000
0.003 0.003 0.250
0.331 0.331 0.422
0.333 0.333 0.910
0.667 0.667 0.090
0.669 0.669 0.578
0.997 0.997 0.750
```

Properties
**E_form (uncorrected)**: -1.81 eV/atom
**Symmetry**: C2/m, No. 12

---

Crystalline Np2Ga3Ge3 at its relaxed geometry. Source: Alexandria via LeMat-Bulk, functional PBE.

```
Np2Ga3Ge3
1.0
4.247 0.000 0.000
0.000 4.361 0.000
0.000 0.000 8.257
Np Ga Ge
2 3 3
Direct
0.000 0.000 0.245
0.000 0.000 0.755
0.000 0.500 0.500
0.500 0.500 0.254
0.500 0.500 0.746
0.000 0.500 0.000
0.500 0.000 0.000
0.500 0.000 0.500
```

Properties
**Symmetry**: Pmmm, No. 47

---

Crystalline La2Mn at its relaxed geometry. Source: Alexandria via LeMat-Bulk, functional PBE.

```
La2Mn
1.0
5.073 0.000 0.000
-2.537 4.394 0.000
0.000 0.000 3.861
La Mn
2 1
Direct
0.333 0.667 0.285
0.667 0.333 0.715
0.000 0.000 0.000
```

Properties
**Symmetry**: P-3m1, No. 164

---

Crystalline K2CdSb2 at its relaxed geometry. Source: Alexandria via LeMat-Bulk, functional PBE.

```
K2CdSb2
1.0
6.168 -2.657 0.000
6.168 2.657 0.000
-6.137 0.000 10.580
K Cd Sb
4 2 4
Direct
0.010 0.010 0.187
0.184 0.184 0.603
0.816 0.816 0.397
0.990 0.990 0.813
0.287 0.287 0.148
0.713 0.713 0.852
0.362 0.362 0.950
0.485 0.485 0.611
0.515 0.515 0.389
0.638 0.638 0.050
```

Properties
**Polymorph energy (0 for the lowest one)**: 0.00 eV per formula unit
**E_form (uncorrected)**: -0.39 eV/atom
**Symmetry**: C2/m, No. 12

---

Crystalline LaHfCuSn2 at its relaxed geometry. Source: Alexandria via LeMat-Bulk, functional PBE.

```
LaHfCuSn2
1.0
5.479 0.000 0.000
0.000 5.479 0.000
0.000 0.000 5.554
La Hf Cu Sn
1 1 1 2
Direct
0.000 0.000 0.000
0.000 0.000 0.500
0.500 0.500 0.000
0.000 0.500 0.500
0.500 0.000 0.500
```

Properties
**Symmetry**: P4/mmm, No. 123

---

Crystalline HgSO at its relaxed geometry. Source: Alexandria via LeMat-Bulk, functional PBE.

```
HgSO
1.0
2.956 -2.008 0.000
2.956 2.008 0.000
-2.500 0.000 11.365
Hg S O
2 2 2
Direct
0.248 0.248 0.370
0.752 0.752 0.630
0.465 0.465 0.916
0.535 0.535 0.084
0.351 0.351 0.621
0.649 0.649 0.379
```

Properties
**E_form (uncorrected)**: 0.03 eV/atom
**Symmetry**: C2/m, No. 12

---

Number 1: magnetization 2.41 μB/cell, calculated density 5.4 g/cm3, VASP energy -5.64 eV/atom. Number 2: magnetization 0.00 μB/cell, calculated density 3.0 g/cm3, VASP energy -3.79 eV/atom. Number 3: magnetization 0.00 μB/cell, calculated density 7.5 g/cm3, VASP energy -5.91 eV/atom. Number 4: magnetization 7.20 μB/cell, calculated density 9.8 g/cm3, VASP energy -6.35 eV/atom. Number 5: magnetization 3.10 μB/cell, calculated density 6.4 g/cm3, VASP energy -6.02 eV/atom. Number 6: magnetization 0.00 μB/cell, calculated density 4.2 g/cm3, VASP energy -2.66 eV/atom. Number 7: magnetization 0.00 μB/cell, calculated density 6.2 g/cm3, VASP energy -4.81 eV/atom. Number 8: magnetization 0.00 μB/cell, calculated density 6.1 g/cm3, VASP energy -3.10 eV/atom.